InAgPb2: relaxed, PBEsol.

Summary:
V	301.0	Å³ per cell
E_tot	-3.51	eV per atom
ΔH_f (0 K)	0.0596	eV/atom

Cell: 3.3905 3.3905 30.2319 Å, 90.00 90.00 120.00°
Closest atoms and distances in Å follow each position.
Space group R3m (No. 160, hexagonal axes)
Unique sites:
In: 0.0000 0.0000 0.0000 x3  3 Ag 2.88
Ag: 0.0000 0.0000 0.2636 x3  3 In 2.88, 3 Pb 3.04
Pb: 0.0000 0.0000 0.5198 x3  3 Ag 3.04, 6 Pb 3.39
Pb: 0.0000 0.0000 0.7564 x3  3 In 3.34, 9 Pb 3.39-3.52


InAgPb2: relaxed, PBEsol.

Summary:
V	100.3	Å³ per cell
E_tot	-3.52	eV per atom
ΔH_f (0 K)	0.0491	eV/atom

Cell: 3.3843 3.3843 8.7584 Å, 90.00 90.00 90.00°
Closest atoms and distances in Å follow each position.
Space group P4/mmm (No. 123)
Unique sites:
In: 0.0000 0.0000 0.0000 x1  4 In 3.38, 8 Pb 3.42
Ag: 0.0000 0.0000 0.5000 x1  8 Pb 3.08, 4 Ag 3.38
Pb: 0.5000 0.5000 0.2790 x2  4 Ag 3.08, 4 Pb 3.38, 4 In 3.42


In2AgPb: relaxed, PBEsol.

Summary:
V	94.8	Å³ per cell
E_tot	-3.24	eV per atom
ΔH_f (0 K)	0.0823	eV/atom

Cell: 4.4529 4.4529 4.7796 Å, 90.00 90.00 90.00°
Closest atoms and distances in Å follow each position.
Space group P4/mmm (No. 123)
Unique sites:
In: 0.0000 0.5000 0.0000 x2  4 In 3.15, 4 Pb 3.27, 4 Ag 3.27
Ag: 0.0000 0.0000 0.5000 x1  4 Pb 3.15, 8 In 3.27
Pb: 0.5000 0.5000 0.5000 x1  4 Ag 3.15, 8 In 3.27


InAgPb3: relaxed, PBEsol.

Summary:
V	158.9	Å³ per cell
E_tot	-3.27	eV per atom
ΔH_f (0 K)	0.3849	eV/atom

Cell: 5.4162 5.4162 5.4162 Å, 90.00 90.00 90.00°
Closest atoms and distances in Å follow each position.
Space group Pm-3m (No. 221)
Unique sites:
In: 0.0000 0.0000 0.0000 x1  12 Pb 3.83
Ag: 0.5000 0.5000 0.5000 x1  6 Pb 2.71
Pb: 0.0000 0.5000 0.5000 x3  2 Ag 2.71


InAgPb2: relaxed, PBEsol.

Summary:
V	199.9	Å³ per cell
E_tot	-3.48	eV per atom
ΔH_f (0 K)	0.0965	eV/atom

Cell: 4.7187 4.7187 8.9788 Å, 90.00 90.00 90.00°
Closest atoms and distances in Å follow each position.
Space group I4/mmm (No. 139)
Unique sites:
In: 0.0000 0.0000 0.0000 x2  8 Pb 3.26, 4 Ag 3.34
Ag: 0.0000 0.0000 0.5000 x2  8 Pb 3.26, 4 In 3.34
Pb: 0.0000 0.5000 0.2500 x4  4 In 3.26, 4 Ag 3.26, 4 Pb 3.34


In2AgPb: relaxed, PBEsol.

Summary:
V	190.8	Å³ per cell
E_tot	-3.21	eV per atom
ΔH_f (0 K)	0.1043	eV/atom

Cell: 6.2563 9.3685 3.2560 Å, 90.00 90.00 90.00°
Closest atoms and distances in Å follow each position.
Space group Cmmm (No. 65)
Unique sites:
In: 0.2500 0.2500 0.0000 x4  4 In 3.13-3.26, 4 Pb 3.25, 4 Ag 3.25
Ag: 0.0000 0.0000 0.5000 x2  2 Pb 3.13, 8 In 3.25, 2 Ag 3.26
Pb: 0.0000 0.5000 0.5000 x2  2 Ag 3.13, 8 In 3.25, 2 Pb 3.26


In2AgPb: relaxed, PBEsol.

Summary:
V	96.9	Å³ per cell
E_tot	-3.19	eV per atom
ΔH_f (0 K)	0.1310	eV/atom

Cell: 5.1426 5.1426 3.6640 Å, 90.00 90.00 90.00°
Closest atoms and distances in Å follow each position.
Space group P4/mmm (No. 123)
Unique sites:
In: 0.0000 0.5000 0.0000 x2  4 Pb 3.16, 4 Ag 3.16
Ag: 0.0000 0.0000 0.5000 x1  8 In 3.16
Pb: 0.5000 0.5000 0.5000 x1  8 In 3.16


InAgPb2: relaxed, PBEsol.

Summary:
V	99.0	Å³ per cell
E_tot	-3.54	eV per atom
ΔH_f (0 K)	0.0289	eV/atom

Cell: 3.4108 3.4108 8.5135 Å, 90.00 90.00 90.00°
Closest atoms and distances in Å follow each position.
Space group P4mm (No. 99)
Unique sites:
In: 0.0000 0.0000 0.0000 x1  4 Ag 2.94
Ag: 0.5000 0.5000 0.8020 x1  4 In 2.94, 4 Pb 3.10
Pb: 0.0000 0.0000 0.5728 x1  4 Ag 3.10, 4 Pb 3.41
Pb: 0.5000 0.5000 0.2722 x1  4 In 3.34, 8 Pb 3.41-3.52


In2AgPb: relaxed, PBEsol.

Summary:
V	95.3	Å³ per cell
E_tot	-3.29	eV per atom
ΔH_f (0 K)	0.0270	eV/atom

Cell: 3.3143 3.3143 8.6732 Å, 90.00 90.00 90.00°
Closest atoms and distances in Å follow each position.
Space group P4mm (No. 99)
Unique sites:
In: 0.0000 0.0000 0.0000 x1  4 Ag 2.93, 4 In 3.27
In: 0.5000 0.5000 0.2635 x1  8 In 3.27-3.31, 4 Pb 3.50
Ag: 0.5000 0.5000 0.7964 x1  4 In 2.93, 4 Pb 3.09
Pb: 0.0000 0.0000 0.5637 x1  4 Ag 3.09, 4 Pb 3.31


In2AgPb: relaxed, PBEsol.

Summary:
V	94.1	Å³ per cell
E_tot	-3.30	eV per atom
ΔH_f (0 K)	0.0184	eV/atom

Cell: 3.2717 3.2717 8.7890 Å, 90.00 90.00 90.00°
Closest atoms and distances in Å follow each position.
Space group P4/mmm (No. 123)
Unique sites:
In: 0.0000 0.0000 0.2112 x2  4 Ag 2.97, 4 In 3.27
Ag: 0.5000 0.5000 0.0000 x1  8 In 2.97, 4 Ag 3.27
Pb: 0.5000 0.5000 0.5000 x1  4 Pb 3.27, 8 In 3.43


InReAgPb2: relaxed, PBEsol.

Summary:
V	151.6	Å³ per cell
E_tot	-3.74	eV per atom
ΔH_f (0 K)	1.7802	eV/atom

Cell: 5.5283 5.5283 4.9610 Å, 90.00 90.00 90.00°
Closest atoms and distances in Å follow each position.
Space group P4/mmm (No. 123)
Unique sites:
In: 0.0000 0.0000 0.0000 x1  2 Ag 2.48, 4 Pb 2.76
Re: 0.5000 0.5000 0.5000 x1  8 Pb 3.71, 4 Ag 3.91
Ag: 0.0000 0.0000 0.5000 x1  2 In 2.48
Pb: 0.0000 0.5000 0.0000 x2  2 In 2.76


InTc2AgPd: relaxed, PBEsol.

Summary:
V	112.3	Å³ per cell
E_tot	-4.91	eV per atom
ΔH_f (0 K)	2.0520	eV/atom

Cell: 4.8191 4.8191 4.8357 Å, 90.00 90.00 90.00°
Closest atoms and distances in Å follow each position.
Space group P4/mmm (No. 123)
Unique sites:
In: 0.0000 0.0000 0.0000 x1  2 Ag 2.42
Tc: 0.0000 0.5000 0.5000 x2  2 Ag 2.41
Ag: 0.0000 0.0000 0.5000 x1  4 Tc 2.41, 2 In 2.42
Pd: 0.5000 0.5000 0.0000 x1  4 In 3.41, 8 Tc 3.41